PBEsol AlSi2Te, optimized geometry; formation energy without anion corrections = 0.40 eV/atom; space group = Immm (71); E above lowest polymorph = 199 meV per atom
1.0
3.393 0.000 0.000
0.000 4.732 0.000
-1.697 -2.366 4.608
Si Te Al
2 1 1
direct
0.737 0.737 0.475 Si
0.263 0.263 0.525 Si
0.500 0.000 0.000 Te
0.000 0.500 0.000 Al


PBEsol LiLu2Os, optimized geometry; space group = Fm-3m (225); energy of formation = -0.3097 eV per atom
1.0
-0.192 -4.318 -1.920
3.995 -2.348 -0.945
1.182 -3.788 2.574
Lu Os Li
2 1 1
direct
0.250 0.250 0.250 Lu
0.750 0.750 0.750 Lu
0.000 0.000 0.000 Os
0.500 0.500 0.500 Li


PBEsol ScNiSn, optimized geometry; space group = P-62m (189); energy of formation = -0.6944 eV per atom
1.0
-3.210 1.092 -0.808
-2.232 -6.775 -0.295
-0.324 3.601 6.156
Sc Ni Sn
3 3 3
direct
0.000 0.396 0.396 Sc
0.000 0.000 0.604 Sc
0.000 0.604 0.000 Sc
0.000 0.000 0.000 Ni
0.500 0.667 0.333 Ni
0.500 0.333 0.667 Ni
0.500 0.730 0.730 Sn
0.500 0.000 0.270 Sn
0.500 0.270 0.000 Sn


PBEsol Tl3BPt, optimized geometry; space group = Pm-3m (221); energy of formation = 0.7846 eV per atom
1.0
4.719 0.000 0.000
0.000 4.719 0.000
0.000 0.000 4.719
Tl B Pt
3 1 1
direct
0.000 0.500 0.000 Tl
0.000 0.000 0.500 Tl
0.500 0.000 0.000 Tl
0.000 0.000 0.000 B
0.500 0.500 0.500 Pt


PBEsol LiScS3, optimized geometry; formation energy without anion corrections = -0.44 eV/atom; space group = Pm-3m (221)
1.0
4.350 0.000 0.000
0.000 4.350 0.000
0.000 0.000 4.350
Sc S Li
1 3 1
direct
0.500 0.500 0.500 Sc
0.000 0.500 0.000 S
0.000 0.000 0.500 S
0.500 0.000 0.000 S
0.000 0.000 0.000 Li


PBEsol ZrCdAg2, optimized geometry; space group = Pmm2 (25); energy of formation = -0.0568 eV per atom
1.0
-1.477 2.429 -1.120
-1.642 0.422 3.081
5.133 4.123 2.171
Zr Ag Cd
1 2 1
direct
0.500 0.500 0.763 Zr
0.000 0.000 0.016 Ag
0.500 0.500 0.243 Ag
0.000 0.000 0.478 Cd


PBEsol K3Sb, optimized geometry; formation energy without anion corrections = -0.37 eV/atom; space group = Pm-3n (223); E above lowest polymorph = 39 meV per atom
1.0
-0.739 -5.715 -3.402
1.866 -3.463 5.413
-6.384 -0.351 1.976
Sb K
2 6
direct
0.000 0.000 0.000 Sb
0.500 0.500 0.500 Sb
0.750 0.500 0.000 K
0.250 0.500 0.000 K
0.000 0.750 0.500 K
0.000 0.250 0.500 K
0.500 0.000 0.250 K
0.500 0.000 0.750 K


PBEsol BaTa3As, optimized geometry; space group = Pm-3m (221); energy of formation = 3.0075 eV per atom
1.0
-1.508 0.695 4.729
-3.381 -3.660 -0.540
3.379 -3.353 1.570
As Ba Ta
1 1 3
direct
0.500 0.500 0.500 As
0.000 0.000 0.000 Ba
0.000 0.500 0.000 Ta
0.000 0.000 0.500 Ta
0.500 0.000 0.000 Ta


PBEsol SrBeI2, optimized geometry; formation energy without anion corrections = -0.17 eV/atom; space group = I-42d (122)
1.0
5.616 0.000 0.000
0.000 5.616 0.000
-2.808 -2.808 9.637
I Sr Be
4 2 2
direct
0.401 0.875 0.250 I
0.849 0.375 0.250 I
0.125 0.151 0.750 I
0.625 0.599 0.750 I
0.250 0.750 0.500 Sr
0.000 0.000 0.000 Sr
0.750 0.250 0.500 Be
0.500 0.500 0.000 Be


PBEsol Mo2PtCl, optimized geometry; formation energy without anion corrections = 0.26 eV/atom; space group = P4/mmm (123); E above lowest polymorph = 0 meV per atom
1.0
2.928 0.000 0.000
0.000 2.928 0.000
0.000 0.000 6.706
Mo Pt Cl
2 1 1
direct
0.000 0.000 0.732 Mo
0.000 0.000 0.268 Mo
0.500 0.500 0.000 Pt
0.500 0.500 0.500 Cl


PBEsol BaBiSb3, optimized geometry; formation energy without anion corrections = 1.08 eV/atom; space group = Pm-3m (221)
1.0
-0.357 -5.858 1.060
1.653 -1.118 -5.620
5.719 -0.042 1.691
Sb Bi Ba
3 1 1
direct
0.000 0.500 0.000 Sb
0.000 0.000 0.500 Sb
0.500 0.000 0.000 Sb
0.500 0.500 0.500 Bi
0.000 0.000 0.000 Ba


PBEsol In2Pt3, optimized geometry; space group = P6_3/mmc (194); energy of formation = -0.4835 eV per atom
1.0
-0.844 0.678 5.470
-4.277 -1.267 -3.345
2.372 -13.338 2.019
In Pt
8 12
direct
0.000 0.000 0.750 In
0.000 0.000 0.250 In
0.667 0.333 0.750 In
0.333 0.667 0.250 In
0.667 0.333 0.086 In
0.667 0.333 0.414 In
0.333 0.667 0.914 In
0.333 0.667 0.586 In
0.834 0.166 0.911 Pt
0.332 0.166 0.911 Pt
0.834 0.668 0.911 Pt
0.332 0.166 0.589 Pt
0.834 0.166 0.589 Pt
0.834 0.668 0.589 Pt
0.166 0.834 0.089 Pt
0.668 0.834 0.089 Pt
0.166 0.332 0.089 Pt
0.668 0.834 0.411 Pt
0.166 0.834 0.411 Pt
0.166 0.332 0.411 Pt


PBEsol In2AsRh, optimized geometry; space group = P2/m (10); energy of formation = -0.0181 eV per atom
1.0
-3.574 0.558 -0.252
-0.443 -3.211 -0.829
-0.151 -1.505 5.907
As Rh In
1 1 2
direct
0.500 0.500 0.500 As
0.500 0.500 0.000 Rh
0.996 0.000 0.764 In
0.004 0.000 0.236 In


PBEsol CdAgSe3, optimized geometry; formation energy without anion corrections = 0.70 eV/atom; space group = Pm-3m (221)
1.0
-4.035 -1.417 -2.824
1.813 -4.789 -0.188
-2.587 -1.147 4.273
Se Ag Cd
3 1 1
direct
0.000 0.500 0.000 Se
0.000 0.000 0.500 Se
0.500 0.000 0.000 Se
0.500 0.500 0.500 Ag
0.000 0.000 0.000 Cd


PBEsol Cu2BiPd2, optimized geometry; space group = I4/mmm (139); energy of formation = 0.0089 eV per atom
1.0
3.548 0.000 0.000
0.000 3.548 0.000
-1.774 -1.774 6.566
Cu Bi Pd
2 1 2
direct
0.250 0.750 0.500 Cu
0.750 0.250 0.500 Cu
0.000 0.000 0.000 Bi
0.391 0.391 0.781 Pd
0.609 0.609 0.219 Pd


PBEsol CaTe2WI, optimized geometry; formation energy without anion corrections = 1.19 eV/atom; space group = P4/mmm (123)
1.0
-4.628 0.665 -3.001
0.055 -5.603 -1.328
-3.185 -1.136 4.660
I Ca Te W
1 1 2 1
direct
0.500 0.000 0.000 I
0.000 0.000 0.000 Ca
0.000 0.000 0.500 Te
0.000 0.500 0.000 Te
0.500 0.500 0.500 W


PBEsol ZrCuH8O4F6, optimized geometry; space group = P2_1/c (14); E = -5.4470 eV/atom
1.0
5.673 0.009 0.000
-1.554 7.325 0.000
0.000 0.000 9.832
Zr Cu H O F
2 2 16 8 12
direct
0.500 0.500 0.000 Zr
0.500 0.000 0.500 Zr
0.000 0.000 0.000 Cu
0.000 0.500 0.500 Cu
0.225 0.804 0.850 H
0.775 0.696 0.350 H
0.775 0.196 0.150 H
0.225 0.304 0.650 H
0.218 0.994 0.777 H
0.782 0.506 0.277 H
0.782 0.006 0.223 H
0.218 0.494 0.723 H
0.228 0.794 0.134 H
0.772 0.706 0.634 H
0.772 0.206 0.866 H
0.228 0.294 0.366 H
0.237 0.985 0.212 H
0.763 0.515 0.712 H
0.763 0.015 0.788 H
0.237 0.485 0.288 H
0.238 0.927 0.120 O
0.762 0.573 0.620 O
0.762 0.073 0.880 O
0.238 0.427 0.380 O
0.126 0.899 0.838 O
0.874 0.601 0.338 O
0.874 0.101 0.162 O
0.126 0.399 0.662 O
0.254 0.778 0.540 F
0.746 0.722 0.040 F
0.746 0.222 0.460 F
0.254 0.278 0.960 F
0.275 0.581 0.137 F
0.725 0.919 0.637 F
0.725 0.419 0.863 F
0.275 0.081 0.363 F
0.359 0.630 0.848 F
0.641 0.870 0.348 F
0.641 0.370 0.152 F
0.359 0.130 0.652 F


PBEsol ZrIrCl2, optimized geometry; formation energy without anion corrections = -0.18 eV/atom; space group = P2/m (10); E above lowest polymorph = 0 meV per atom
1.0
4.082 -0.005 0.000
-0.061 4.111 0.000
0.000 0.000 4.315
Ir Zr Cl
1 1 2
direct
0.000 0.500 0.500 Ir
0.500 0.000 0.500 Zr
0.253 0.247 0.000 Cl
0.747 0.753 0.000 Cl


PBEsol Y5Au, optimized geometry; space group = P4/mmm (123); energy of formation = -0.2572 eV per atom; E above lowest polymorph = 8 meV per atom
1.0
-0.968 -1.514 3.027
2.454 -2.482 -0.457
8.986 7.653 6.698
Y Au
5 1
direct
0.000 0.000 0.630 Y
0.500 0.500 0.820 Y
0.000 0.000 0.000 Y
0.500 0.500 0.180 Y
0.000 0.000 0.370 Y
0.500 0.500 0.500 Au


PBEsol SbTe2AsH, optimized geometry; space group = P4/mmm (123); E = -3.5219 eV/atom
1.0
-2.013 3.245 0.108
-0.570 -0.526 5.172
4.408 2.709 0.761
Sb As Te H
1 1 2 1
direct
0.500 0.000 0.000 Sb
0.500 0.500 0.500 As
0.000 0.000 0.500 Te
0.000 0.500 0.000 Te
0.000 0.000 0.000 H